(1)
An optimized crystal structure of TbHo2Ta, computed with PBE.

Calculated values
formation enthalpy at 0 K = 0.593 eV/atom
N(E_F) = 1.32 states/eV per atom
magnetic moment = 0.00 μB per formula unit

Lattice parameters (Å, degrees): 3.2632 3.2632 11.8116 82.06 82.06 60.00
With the nearest neighbours (Å) after each atom.
Fractional positions:
Ho1 0.0836 0.0836 0.7491  1 Ta 2.93, 6 Ho 3.26
Ho2 0.9164 0.9164 0.2509  1 Ta 2.93, 6 Ho 3.26
Tb1 0.5000 0.5000 0.5000  6 Tb 3.26, 6 Ho 3.46
Ta1 0.0000 0.0000 0.0000  2 Ho 2.93, 6 Ta 3.26

---

(2)
An optimized crystal structure of HoTa4Te8, computed with PBE.

Calculated values
N(E_F) = 0.46 states/eV per atom
formation energy from raw total energies = -0.346 eV/atom
magnetic moment = 0.00 μB per formula unit

Lattice parameters (Å, degrees): 7.5870 7.5870 8.6445 90.00 116.03 120.00
With the nearest neighbours (Å) after each atom.
Fractional positions:
Ta1 0.5000 0.0000 0.0000  6 Te 2.82-2.85
Ta2 0.5000 0.5000 0.0000  6 Te 2.82-2.85
Ta3 0.0000 0.5000 0.0000  6 Te 2.82-2.85
Ta4 0.0000 0.0000 0.0000  6 Te 2.78
Te1 0.0022 0.2438 0.7606  3 Ta 2.78-2.85, 1 Ho 2.98
Te2 0.0022 0.7584 0.7606  3 Ta 2.78-2.85, 1 Ho 2.98
Te3 0.9978 0.7562 0.2394  3 Ta 2.78-2.85, 1 Ho 2.98
Te4 0.4832 0.2416 0.2394  3 Ta 2.78-2.85, 1 Ho 2.98
Te5 0.4927 0.7463 0.2390  3 Ta 2.82
Te6 0.9978 0.2416 0.2394  3 Ta 2.78-2.85, 1 Ho 2.98
Te7 0.5073 0.2537 0.7610  3 Ta 2.82
Te8 0.5168 0.7584 0.7606  3 Ta 2.78-2.85, 1 Ho 2.98
Ho1 0.0000 0.5000 0.5000  6 Te 2.98

---

Number 1: calculated volume 107.5 Å³ per cell. Number 2: calculated volume 371.5 Å³ per cell.